[1]
Nd6SiOs2Cl3 | PBE-GGA | optimized geometry

Structure (extended XYZ):
```
12
Lattice="3.6089 -6.2655 0.0000 3.6089 6.2655 0.0000 -2.4161 0.0000 7.4255" Properties=species:S:1:pos:R:3 pbc="T T T"
Nd -0.0599 2.1935 5.8764
Nd 1.0825 0.0000 1.5586
Nd -0.0599 -2.1935 5.8764
Nd 4.8615 2.1935 1.5491
Nd 3.7192 0.0000 5.8669
Nd 4.8615 -2.1935 1.5491
Si 3.6089 0.0000 0.0000
Os 3.6089 4.1812 0.0000
Os 3.6089 -4.1812 0.0000
Cl -1.2080 0.0000 3.7127
Cl 2.4008 2.0667 3.7127
Cl 2.4008 -2.0667 3.7127
```

Properties
- E_tot (eV per atom) = -6.06
- DOS at the Fermi energy (states/eV/atom) = 0.62

[2]
Nd8SiOs3Cl4 | PBE-GGA | optimized geometry

Structure (extended XYZ):
```
16
Lattice="7.1984 -4.1581 0.0000 7.1984 4.1581 0.0000 -4.8056 0.0000 7.4651" Properties=species:S:1:pos:R:3 pbc="T T T"
Nd 3.5540 2.1537 5.2543
Nd -0.0018 0.0000 5.3320
Nd 2.3092 0.0000 2.2110
Nd 6.0371 2.1537 2.2108
Nd 3.5540 -2.1537 5.2543
Nd 7.2820 0.0000 5.2541
Nd 9.5930 0.0000 2.1331
Nd 6.0371 -2.1537 2.2108
Si 4.7956 0.0000 3.7325
Os -2.4028 0.0000 3.7325
Os 1.1964 2.0790 3.7325
Os 1.1964 -2.0790 3.7325
Cl 0.0000 0.0000 0.0000
Cl 3.5992 2.0790 0.0000
Cl 3.5992 -2.0790 0.0000
Cl 7.1984 0.0000 0.0000
```

Properties
- E_tot (eV per atom) = -6.14
- DOS at the Fermi energy (states/eV/atom) = 0.48

[3]
Nd4TeOsCl2 | PBE-GGA | optimized geometry

Structure (extended XYZ):
```
8
Lattice="7.4642 0.0000 0.0000 0.0000 4.1807 0.0000 -2.5393 0.0000 7.5054" Properties=species:S:1:pos:R:3 pbc="T T T"
Nd 1.0764 0.0000 1.5790
Nd -0.2620 2.0903 5.9084
Nd 5.1869 2.0903 1.5970
Nd 3.8485 0.0000 5.9264
Te -1.2696 0.0000 3.7527
Os 0.0000 2.0903 0.0000
Cl 3.7321 0.0000 0.0000
Cl 2.4625 2.0903 3.7527
```

Properties
- E_tot (eV per atom) = -5.74
- DOS at the Fermi energy (states/eV/atom) = 0.79